1.
This record from Alexandria via LeMat-Bulk describes ZnTc3Pd after structural relaxation. The functional is PBEsol.

Computed properties:
Total energy in eV/atom: -6.45
Magnetic moment in μB/cell: 0.0
Energy above the lowest structure with this stoichiometry in meV per atom: 0
DFT formation energy in eV/f.u.: 9.07

Cell: 4.3798 4.3798 4.3798 Å, 90.00 90.00 90.00°
Fractional positions:
Zn1 0.0000 0.0000 0.0000
Tc1 0.0000 0.5000 0.0000
Tc2 0.0000 0.0000 0.5000
Tc3 0.5000 0.0000 0.0000
Pd1 0.5000 0.5000 0.5000

2.
This record from Alexandria via LeMat-Bulk describes Nb2Ni3Ge after structural relaxation. The functional is PBEsol.

Computed properties:
Total energy in eV/atom: -7.89
Magnetic moment in μB/cell: 0.0
DFT formation energy in eV/f.u.: -2.28

Cell: 4.8472 4.8472 7.7150 Å, 90.00 90.00 120.00°
Fractional positions:
Ni1 0.8289 0.1711 0.7500
Ni2 0.6579 0.8289 0.2500
Ni3 0.1711 0.8289 0.2500
Ni4 0.8289 0.6579 0.7500
Ni5 0.1711 0.3421 0.2500
Ni6 0.3421 0.1711 0.7500
Nb1 0.3333 0.6667 0.5603
Nb2 0.6667 0.3333 0.4397
Nb3 0.6667 0.3333 0.0603
Nb4 0.3333 0.6667 0.9397
Ge1 0.0000 0.0000 0.5000
Ge2 0.0000 0.0000 0.0000